Record 1
A relaxed Mn2CrFe crystal. Source: the Alexandria database, functional PBEsol.

Lattice parameters (Å, degrees): 2.394 3.936 4.595 90.00 98.51 90.00
Site moments in Bohr magnetons follow the coordinates.
Sites, in units of the cell vectors:
Cr1 0.500 0.500 0.000  -0.37
Mn1 0.729 0.000 0.749  1.05
Mn2 0.271 0.000 0.251  1.05
Fe1 0.000 0.500 0.500  1.93

## Properties
Space group: P2/m (10)
Calculated volume (A^3/atom): 10.7
Energy relative to the elements (meV/atom): 111
Final energy (eV per atom): -9.57

***

Record 2
A relaxed MnCr2Fe crystal. Source: the Alexandria database, functional PBEsol.

Lattice parameters (Å, degrees): 2.408 2.408 7.882 90.00 90.00 108.69
Site moments in Bohr magnetons follow the coordinates.
Sites, in units of the cell vectors:
Cr1 0.000 0.000 0.002  -0.12
Cr2 0.500 0.500 0.750  -0.04
Fe1 0.000 0.000 0.499  1.93
Mn1 0.500 0.500 0.249  0.91

## Properties
Space group: Cmm2 (35)
Calculated volume (A^3/atom): 10.8
Excess energy over the best structure of this formula in the dataset (meV per atom): 0.0
Energy relative to the elements (meV/atom): 72
Final energy (eV per atom): -9.73

***

Record 3
A relaxed Mn2CrFe crystal. Source: the Alexandria database, functional PBEsol.

Lattice parameters (Å, degrees): 2.809 2.809 5.444 90.00 90.00 90.00
Site moments in Bohr magnetons follow the coordinates.
Sites, in units of the cell vectors:
Mn1 0.500 0.500 0.253  -0.21
Mn2 0.000 0.000 0.999  1.96
Fe1 0.500 0.500 0.748  1.53
Cr1 0.000 0.000 0.500  0.27

## Properties
Space group: P4mm (99)
Calculated volume (A^3/atom): 10.7
Energy relative to the elements (meV/atom): 122
Final energy (eV per atom): -9.56

***

Repeat the third record exactly.
A relaxed Mn2CrFe crystal. Source: the Alexandria database, functional PBEsol.

Lattice parameters (Å, degrees): 2.809 2.809 5.444 90.00 90.00 90.00
Site moments in Bohr magnetons follow the coordinates.
Sites, in units of the cell vectors:
Mn1 0.500 0.500 0.253  -0.21
Mn2 0.000 0.000 0.999  1.96
Fe1 0.500 0.500 0.748  1.53
Cr1 0.000 0.000 0.500  0.27

## Properties
Space group: P4mm (99)
Calculated volume (A^3/atom): 10.7
Energy relative to the elements (meV/atom): 122
Final energy (eV per atom): -9.56

***

Q: Which value of final energy does entry 3 give?
A: -9.56 eV per atom

***

Q: Among the records above, which one has the highest final energy?
A: number 3